No. 1
GGA-PBE NdSm2Dy6Y, relaxed; energy relative to the elements = 0.1146 eV per atom; DOS at the Fermi energy = 28.37 states/eV/cell; total moment = 0.0 μB/f.u.; space-group type = No. 15
1.0
4.5268 -7.5643 0.0000
4.5268 7.5643 0.0000
-1.4094 0.0000 9.5885
Nd Sm Dy Y
2 4 12 2
Direct
0.0206 0.9794 0.7500
0.9794 0.0206 0.2500
0.1958 0.2992 0.5432
0.2992 0.1958 0.0432
0.7008 0.8042 0.9568
0.8042 0.7008 0.4568
0.0213 0.5708 0.6842
0.1230 0.7441 0.0568
0.2559 0.8770 0.4432
0.2931 0.5065 0.8798
0.4292 0.9787 0.8158
0.4935 0.7069 0.6202
0.5065 0.2931 0.3798
0.5708 0.0213 0.1842
0.7069 0.4935 0.1202
0.7441 0.1230 0.5568
0.8770 0.2559 0.9432
0.9787 0.4292 0.3158
0.4077 0.5923 0.2500
0.5923 0.4077 0.7500


No. 2
GGA-PBE CaReTeI2, relaxed; DOS at the Fermi energy = 4.29 states/eV/cell; uncorrected formation energy = 0.185 eV per atom; total moment = 0.1 μB/f.u.; space-group type = No. 123; excess energy over the best structure of this formula in the dataset = 0.000 eV per formula unit
1.0
5.6309 0.0000 0.0000
0.0000 5.6309 0.0000
0.0000 0.0000 5.1265
Ca Re Te I
1 1 1 2
Direct
0.0000 0.0000 0.0000
0.5000 0.5000 0.5000
0.5000 0.5000 0.0000
0.0000 0.5000 0.5000
0.5000 0.0000 0.5000